Entry 1:
Entry from the Alexandria database: a relaxed structure of Cr2MoRu (PBE).

Its calculated total energy is -38.73 eV per cell.

The space group is Pmmm (No. 47) and the conventional cell measures 3.017, 4.246 and 4.299 Å, with angles of 90.00, 90.00 and 90.00 degrees. Symmetry generates all atoms from Cr at (0.000, 0.000, 0.000), Cr at (0.500, 0.000, 0.500), Mo at (0.000, 0.500, 0.500) and Ru at (0.500, 0.500, 0.000).

=====

Entry 2:
Entry from the Alexandria database: a relaxed structure of LaDyAu (PBE).

Its calculated total energy is -28.74 eV per cell.

The space group is I4mm (No. 107) and the conventional cell measures 3.685, 3.685 and 12.717 Å, with angles of 90.00, 90.00 and 90.00 degrees. Symmetry generates all atoms from La at (0.000, 0.000, 0.000), Dy at (0.000, 0.000, 0.286) and Au at (0.000, 0.000, 0.666).

=====

Entry 3:
Entry from the Alexandria database: a relaxed structure of SmYSc2S4 (PBE).

The calculation puts the raw formation energy at -15.38 eV/f.u.

The space group is P2/m (No. 10) and the conventional cell measures 6.622, 3.793 and 6.694 Å, with angles of 90.00, 109.04 and 90.00 degrees. Symmetry generates all atoms from Sm at (0.000, 0.000, 0.000), Y at (0.500, 0.500, 0.000), Sc at (0.000, 0.500, 0.500), Sc at (0.500, 0.000, 0.500), S at (0.247, 0.000, 0.730) and S at (0.262, 0.500, 0.273).

=====

Entry 4:
Entry from the Alexandria database: a relaxed structure of LaPrNdTm (PBE).

Its calculated total energy is -73.98 eV per cell.

The space group is F-43m (No. 216) and the conventional cell measures 8.236, 8.236 and 8.236 Å, with angles of 90.00, 90.00 and 90.00 degrees. Symmetry generates all atoms from La at (0.000, 0.000, 0.000), Pr at (0.000, 0.000, 0.500), Nd at (0.250, 0.250, 0.250) and Tm at (0.250, 0.250, 0.750).

=====

Total magnetization? In order: 1.53, 0.60, 0.00, 0.00 μB/f.u..